No. 1
A relaxed CsCuBr3 crystal. Source: Alexandria via LeMat-Bulk, functional GGA-PBE.

Cell: 4.258 8.858 9.893 Å, 90.00 90.00 95.17°
Sites, in units of the cell vectors:
Br: 0.909 0.022 0.250
Br: 0.091 0.978 0.750
Br: 0.534 0.681 0.553
Cs: 0.019 0.596 0.250
Br: 0.534 0.681 0.947
Br: 0.466 0.319 0.053
Cs: 0.981 0.404 0.750
Br: 0.466 0.319 0.447
Cu: 0.433 0.157 0.250
Cu: 0.567 0.843 0.750

Values from the calculation:
- Energy relative to the elements, uncorrected: -839.6 meV per atom


No. 2
A relaxed Cs3Cu2Br9 crystal. Source: Alexandria via LeMat-Bulk, functional GGA-PBE.

Cell: 10.224 10.224 10.224 Å, 78.48 78.48 78.48°
Sites, in units of the cell vectors:
Br: 0.750 0.596 0.904
Br: 0.442 0.604 0.767
Br: 0.896 0.058 0.733
Br: 0.396 0.233 0.558
Br: 0.596 0.904 0.750
Cs: 0.589 0.250 0.911
Cs: 0.750 0.089 0.411
Cs: 0.411 0.750 0.089
Br: 0.767 0.442 0.604
Br: 0.558 0.396 0.233
Br: 0.096 0.250 0.404
Br: 0.250 0.404 0.096
Br: 0.104 0.942 0.267
Cu: 0.669 0.669 0.669
Cu: 0.831 0.831 0.831
Br: 0.233 0.558 0.396
Br: 0.942 0.267 0.104
Cs: 0.250 0.911 0.589
Cu: 0.169 0.169 0.169
Cs: 0.911 0.589 0.250
Cs: 0.089 0.411 0.750
Cu: 0.331 0.331 0.331
Br: 0.604 0.767 0.442
Br: 0.904 0.750 0.596
Br: 0.733 0.896 0.058
Br: 0.404 0.096 0.250
Br: 0.058 0.733 0.896
Br: 0.267 0.104 0.942

Values from the calculation:
- Energy relative to the elements, uncorrected: -844.2 meV per atom


No. 3
A relaxed Cs3CuBr6 crystal. Source: Alexandria via LeMat-Bulk, functional GGA-PBE.

Cell: 5.899 12.408 12.408 Å, 103.37 90.00 90.00°
Sites, in units of the cell vectors:
Br: 0.595 0.615 0.087
Cs: 0.084 0.707 0.959
Br: 0.364 0.327 0.327
Cu: 0.502 0.793 0.207
Br: 0.864 0.673 0.673
Cs: 0.084 0.041 0.293
Cs: 0.643 0.611 0.389
Br: 0.364 0.673 0.673
Br: 0.595 0.913 0.385
Cs: 0.584 0.293 0.041
Br: 0.864 0.327 0.327
Br: 0.147 0.731 0.269
Br: 0.095 0.385 0.913
Cs: 0.584 0.959 0.707
Br: 0.605 0.913 0.087
Cu: 0.002 0.207 0.793
Cs: 0.143 0.389 0.611
Br: 0.105 0.087 0.913
Br: 0.647 0.269 0.731
Br: 0.095 0.087 0.615

Values from the calculation:
- Energy relative to the elements, uncorrected: -1160.7 meV per atom


No. 4
A relaxed Cs2CuBr5 crystal. Source: Alexandria via LeMat-Bulk, functional GGA-PBE.

Cell: 5.526 7.449 7.449 Å, 90.00 90.00 90.00°
Sites, in units of the cell vectors:
Br: 0.000 0.766 0.766
Cs: 0.500 0.500 0.000
Br: 0.000 0.234 0.234
Br: 0.500 0.000 0.000
Br: 0.000 0.766 0.234
Br: 0.000 0.234 0.766
Cs: 0.500 0.000 0.500
Cu: 0.000 0.000 0.000

Values from the calculation:
- Energy relative to the elements, uncorrected: -986.8 meV per atom
- Offset from the most stable computed form: 28 meV/atom


No. 5
A relaxed CsCu6Br8 crystal. Source: Alexandria via LeMat-Bulk, functional GGA-PBE.

Cell: 7.425 7.425 7.425 Å, 96.31 96.31 96.31°
Sites, in units of the cell vectors:
Br: 0.542 0.908 0.230
Cu: 0.424 0.811 0.509
Br: 0.770 0.458 0.092
Cu: 0.576 0.189 0.491
Cu: 0.509 0.424 0.811
Cu: 0.811 0.509 0.424
Br: 0.333 0.333 0.333
Cu: 0.189 0.491 0.576
Br: 0.458 0.092 0.770
Cu: 0.491 0.576 0.189
Cs: 0.000 0.000 0.000
Br: 0.230 0.542 0.908
Br: 0.667 0.667 0.667
Br: 0.908 0.230 0.542
Br: 0.092 0.770 0.458

Values from the calculation:
- Energy relative to the elements, uncorrected: -484.7 meV per atom


No. 6
A relaxed CsCuBr6 crystal. Source: Alexandria via LeMat-Bulk, functional GGA-PBE.

Cell: 7.909 8.777 6.436 Å, 124.84 63.74 121.51°
Sites, in units of the cell vectors:
Br: 0.234 0.306 0.996
Br: 0.377 0.962 0.186
Cs: 0.500 0.500 0.500
Br: 0.091 0.811 0.549
Br: 0.766 0.694 0.004
Br: 0.623 0.038 0.814
Cu: 0.000 0.000 0.000
Br: 0.909 0.189 0.451

Values from the calculation:
- Energy relative to the elements, uncorrected: -549.3 meV per atom


The lowest energy relative to the elements, uncorrected belongs to which entry?
Cs3CuBr6


What is the energy relative to the elements, uncorrected in the fourth record?
-986.8 meV per atom